Entry 1:
Density functional theory data (GGA-PBE) for a relaxed structure of K3SnAs.

a = 6.3324 Å, b = 6.3324 Å, c = 6.3324 Å
α = 90.00°, β = 90.00°, γ = 90.00°
With the nearest neighbours (Å) after each atom.
Fractional coordinates of all 5 atoms:
1 K 0.0000 0.0000 0.5000  2 As 3.17
2 K 0.0000 0.5000 0.0000  2 As 3.17
3 K 0.5000 0.0000 0.0000  2 As 3.17
4 Sn 0.5000 0.5000 0.5000  12 K 4.48
5 As 0.0000 0.0000 0.0000  6 K 3.17

Calculated values
Electronic total energy ... -2.24 eV/atom
Calculated formation energy ... 144 meV/atom
ΔE to the lowest computed polymorph ... 0 meV/atom


Entry 2:
Density functional theory data (GGA-PBE) for a relaxed structure of ThMg3Co8.

a = 8.6890 Å, b = 8.6890 Å, c = 8.6890 Å
α = 32.75°, β = 32.75°, γ = 32.75°
With the nearest neighbours (Å) after each atom.
Fractional coordinates of all 12 atoms:
1 Th 0.0000 0.0000 0.0000  12 Co 2.88-3.02, 4 Mg 3.12-3.17
2 Mg 0.1287 0.1287 0.1287  12 Co 2.76-2.90, 3 Mg 2.96
3 Mg 0.4971 0.4971 0.4971  12 Co 2.79-2.88, 4 Mg 2.86-2.96
4 Mg 0.6130 0.6130 0.6130  9 Co 2.79-2.93, 1 Mg 2.86, 3 Th 3.12
5 Co 0.0619 0.0619 0.5526  6 Co 2.40-2.53
6 Co 0.0619 0.5526 0.0619  6 Co 2.40-2.53
7 Co 0.0687 0.5642 0.5642  6 Co 2.43-2.58
8 Co 0.3111 0.3111 0.3111  6 Co 2.53-2.58
9 Co 0.5526 0.0619 0.0619  6 Co 2.40-2.53
10 Co 0.5642 0.0687 0.5642  6 Co 2.43-2.58
11 Co 0.5642 0.5642 0.0687  6 Co 2.43-2.58
12 Co 0.8130 0.8130 0.8130  6 Co 2.43-2.45

Calculated values
Electronic total energy ... -5.82 eV/atom
Calculated formation energy ... -68 meV/atom


Entry 3:
Density functional theory data (GGA-PBE) for a relaxed structure of NaTm2S3.

a = 6.7834 Å, b = 6.7834 Å, c = 6.7834 Å
α = 146.87°, β = 132.32°, γ = 59.29°
With the nearest neighbours (Å) after each atom.
Fractional coordinates of all 6 atoms:
1 Na 0.0000 0.0000 0.0000  6 S 2.74-2.82
2 Tm 0.3374 0.3374 0.0000  6 S 2.72-2.74
3 Tm 0.6626 0.6626 0.0000  6 S 2.72-2.74
4 S 0.1743 0.6743 0.5000  4 Tm 2.73-2.74, 2 Na 2.82
5 S 0.5000 0.0000 0.5000  4 Tm 2.72, 2 Na 2.74
6 S 0.8257 0.3257 0.5000  4 Tm 2.73-2.74, 2 Na 2.82

Calculated values
Electronic total energy ... -5.63 eV/atom
Energy relative to the elements, uncorrected ... -1860 meV per atom


Entry 4:
Density functional theory data (GGA-PBE) for a relaxed structure of CsHfSe2N.

a = 5.7197 Å, b = 5.7197 Å, c = 4.2477 Å
α = 90.00°, β = 90.00°, γ = 90.00°
With the nearest neighbours (Å) after each atom.
Fractional coordinates of all 5 atoms:
1 Cs 0.0000 0.0000 0.0000  2 N 2.12
2 Hf 0.5000 0.5000 0.5000  8 Se 3.56
3 Se 0.0000 0.5000 0.0000  2 Cs 2.86
4 Se 0.5000 0.0000 0.0000  2 Cs 2.86
5 N 0.0000 0.0000 0.5000  2 Cs 2.12

Calculated values
Electronic total energy ... -3.42 eV/atom
Energy relative to the elements, uncorrected ... 1801 meV per atom


Q: Which of these has the lowest electronic total energy?
A: ThMg3Co8